The following is a DFT calculation (PBE) of an optimized crystal structure of MgAgPd2.

Summary:
SG   No. 123
Formation enthalpy at 0 K   -0.44 eV per atom
Total DFT energy (no corrections)   -4.15 eV/atom

a b c (Å): 4.216 4.216 3.667
angles (deg): 90.00 90.00 90.00
Fractional positions:
Mg1 0.000 0.000 0.000
Ag1 0.500 0.500 0.000
Pd1 0.000 0.500 0.500
Pd2 0.500 0.000 0.500

The following is a DFT calculation (PBE) of an optimized crystal structure of Mg2AgPd5.

Summary:
SG   No. 69
Formation enthalpy at 0 K   -0.45 eV per atom
Total DFT energy (no corrections)   -4.46 eV/atom

a b c (Å): 5.741 5.615 5.606
angles (deg): 61.55 59.30 59.15
Fractional positions:
Mg1 0.000 0.500 0.500
Mg2 0.500 0.000 0.000
Ag1 0.000 0.000 0.000
Pd1 0.000 0.000 0.500
Pd2 0.000 0.500 0.000
Pd3 0.500 0.000 0.500
Pd4 0.500 0.500 0.000
Pd5 0.500 0.500 0.500

The following is a DFT calculation (PBE) of an optimized crystal structure of MgAgPd2.

Summary:
SG   No. 123
Formation enthalpy at 0 K   -0.42 eV per atom
Total DFT energy (no corrections)   -4.13 eV/atom

a b c (Å): 3.062 3.062 6.939
angles (deg): 90.00 90.00 90.00
Fractional positions:
Mg1 0.000 0.000 0.000
Ag1 0.000 0.000 0.500
Pd1 0.500 0.500 0.233
Pd2 0.500 0.500 0.767

The following is a DFT calculation (PBE) of an optimized crystal structure of Mg5Ag6Pd.

Summary:
SG   No. 71
Formation enthalpy at 0 K   -0.25 eV per atom
Total DFT energy (no corrections)   -2.77 eV/atom

a b c (Å): 7.879 7.879 7.879
angles (deg): 148.18 122.03 67.67
Fractional positions:
Mg1 0.000 0.000 0.000
Mg2 0.175 0.675 0.500
Mg3 0.353 0.353 0.000
Mg4 0.647 0.647 0.000
Mg5 0.825 0.325 0.500
Ag1 0.077 0.833 0.244
Ag2 0.233 0.500 0.733
Ag3 0.411 0.167 0.244
Ag4 0.589 0.833 0.756
Ag5 0.767 0.500 0.267
Ag6 0.923 0.167 0.756
Pd1 0.500 0.000 0.500

The following is a DFT calculation (PBE) of an optimized crystal structure of Mg3AgPd.

Summary:
Excess energy over the best structure of this formula in the dataset   364 meV/atom
SG   No. 221
Formation enthalpy at 0 K   -0.04 eV per atom
Total DFT energy (no corrections)   -2.60 eV/atom

a b c (Å): 4.948 4.948 4.948
angles (deg): 90.00 90.00 90.00
Fractional positions:
Mg1 0.000 0.000 0.500
Mg2 0.000 0.500 0.000
Mg3 0.500 0.000 0.000
Ag1 0.500 0.500 0.500
Pd1 0.000 0.000 0.000

The following is a DFT calculation (PBE) of an optimized crystal structure of Mg4AgPd2.

Summary:
Excess energy over the best structure of this formula in the dataset   140 meV/atom
SG   No. 12
Formation enthalpy at 0 K   -0.34 eV per atom
Total DFT energy (no corrections)   -3.14 eV/atom

a b c (Å): 7.272 7.272 6.901
angles (deg): 117.04 117.04 23.97
Fractional positions:
Mg1 0.097 0.097 0.236
Mg2 0.359 0.359 0.122
Mg3 0.641 0.641 0.878
Mg4 0.903 0.903 0.764
Ag1 0.000 0.000 0.500
Pd1 0.231 0.231 0.673
Pd2 0.769 0.769 0.327